Ni2SnPbO: optimized geometry, GGA+U.

Summary:
energy: -2.284 eV per atom
size of the total moment: 0.605 μB per atom

a = 4.925 Å, b = 5.809 Å, c = 4.925 Å
α = 90.00°, β = 90.00°, γ = 90.00°
Element x y z (fractional)
Ni (0.500, 0.000, 0.000)
Sn (0.000, 0.500, 0.000)
O (0.500, 0.500, 0.500)
Ni (0.000, 0.000, 0.500)
Pb (0.000, 0.000, 0.000)